DFT (PBEsol) results for a relaxed structure of TaBiPS2.

Lattice parameters (Å, degrees): 4.661 4.661 5.027 90.00 90.00 90.00
Positions (direct):
Ta 0.000 0.000 0.000
Bi 0.500 0.500 0.500
S 0.500 0.000 0.000
S 0.000 0.500 0.000
P 0.000 0.000 0.500

The calculation puts the formation energy (no corrections) at -0.1167 eV per atom. The value obtained for the calculated density is 7.4 g/cm3. For the total energy, the calculation gives -6.3960 eV per atom.